No. 1
A plane-wave DFT calculation with GGA-PBE was carried out for a relaxed structure of NdDyTm5Sc2.

The structure in POSCAR format:
```
NdDyTm5Sc2
1.0
2.766 -10.617 0.000
2.766 10.617 0.000
0.000 0.000 9.280
Nd Dy Tm Sc
2 2 10 4
direct
0.097 0.903 0.500
0.903 0.097 0.000
0.310 0.690 0.103
0.690 0.310 0.603
0.031 0.969 0.832
0.109 0.891 0.126
0.192 0.808 0.806
0.236 0.764 0.420
0.492 0.508 0.107
0.508 0.492 0.607
0.764 0.236 0.920
0.808 0.192 0.306
0.891 0.109 0.626
0.969 0.031 0.332
0.356 0.644 0.775
0.387 0.613 0.407
0.613 0.387 0.907
0.644 0.356 0.275
```

Summary:
- DOS at the Fermi energy: 13.43 states/eV/f.u.
- Symmetry: Cmc2_1
- Formation enthalpy at 0 K: 151 kJ/mol of formula units


No. 2
A plane-wave DFT calculation with GGA-PBE was carried out for a relaxed structure of Nd2DyTmSc.

The structure in POSCAR format:
```
Nd2DyTmSc
1.0
3.219 -7.917 0.000
3.219 7.917 0.000
0.000 0.000 6.442
Nd Dy Tm Sc
4 2 2 2
direct
0.249 0.249 0.000
0.249 0.249 0.500
0.751 0.751 0.000
0.751 0.751 0.500
0.339 0.661 0.750
0.661 0.339 0.250
0.250 0.750 0.250
0.750 0.250 0.750
0.155 0.845 0.750
0.845 0.155 0.250
```

Summary:
- DOS at the Fermi energy: 7.65 states/eV/f.u.
- Symmetry: Cmcm
- Formation enthalpy at 0 K: 190 kJ/mol of formula units


No. 3
A plane-wave DFT calculation with GGA-PBE was carried out for a relaxed structure of Nd5DyTm2Sc.

The structure in POSCAR format:
```
Nd5DyTm2Sc
1.0
2.677 -10.902 0.000
2.677 10.902 0.000
0.000 0.000 10.255
Nd Dy Tm Sc
10 2 4 2
direct
0.000 0.000 0.000
0.000 0.000 0.500
0.127 0.873 0.750
0.220 0.780 0.439
0.221 0.779 0.063
0.499 0.501 0.250
0.501 0.499 0.750
0.779 0.221 0.563
0.780 0.220 0.939
0.873 0.127 0.250
0.101 0.899 0.250
0.899 0.101 0.750
0.384 0.616 0.503
0.385 0.615 0.997
0.615 0.385 0.497
0.616 0.384 0.003
0.286 0.714 0.751
0.714 0.286 0.251
```

Summary:
- DOS at the Fermi energy: 13.22 states/eV/f.u.
- Symmetry: Cmc2_1
- Formation enthalpy at 0 K: 111 kJ/mol of formula units


No. 4
A plane-wave DFT calculation with GGA-PBE was carried out for a relaxed structure of NdDy5TmSc2.

The structure in POSCAR format:
```
NdDy5TmSc2
1.0
2.795 -10.748 0.000
2.795 10.748 0.000
0.000 0.000 9.305
Nd Dy Tm Sc
2 10 2 4
direct
0.184 0.816 0.500
0.816 0.184 0.000
0.010 0.990 0.496
0.266 0.734 0.815
0.307 0.693 0.201
0.393 0.607 0.530
0.468 0.532 0.231
0.532 0.468 0.731
0.607 0.393 0.030
0.693 0.307 0.701
0.734 0.266 0.315
0.990 0.010 0.996
0.403 0.597 0.903
0.597 0.403 0.403
0.113 0.887 0.808
0.136 0.864 0.182
0.864 0.136 0.682
0.887 0.113 0.308
```

Summary:
- DOS at the Fermi energy: 13.38 states/eV/f.u.
- Symmetry: Cmc2_1
- Formation enthalpy at 0 K: 146 kJ/mol of formula units


No. 5
A plane-wave DFT calculation with GGA-PBE was carried out for a relaxed structure of NdDy2Tm6Sc3.

The structure in POSCAR format:
```
NdDy2Tm6Sc3
1.0
3.004 -5.199 0.000
3.004 5.199 0.000
-1.998 0.000 11.233
Nd Dy Tm Sc
1 2 6 3
direct
0.000 0.000 0.000
0.333 0.667 0.000
0.667 0.333 0.000
0.087 0.421 0.260
0.247 0.247 0.740
0.421 0.087 0.260
0.579 0.913 0.740
0.753 0.753 0.260
0.913 0.579 0.740
0.167 0.833 0.500
0.500 0.500 0.500
0.833 0.167 0.500
```

Summary:
- DOS at the Fermi energy: 18.09 states/eV/f.u.
- Symmetry: C2/m
- Formation enthalpy at 0 K: 52 kJ/mol of formula units


No. 6
A plane-wave DFT calculation with GGA-PBE was carried out for a relaxed structure of Nd3Dy6Tm2Sc.

The structure in POSCAR format:
```
Nd3Dy6Tm2Sc
1.0
3.075 -5.326 0.000
3.075 5.326 0.000
-2.050 0.000 11.552
Nd Dy Tm Sc
3 6 2 1
direct
0.000 0.000 0.000
0.333 0.667 0.000
0.667 0.333 0.000
0.088 0.420 0.258
0.249 0.249 0.743
0.420 0.088 0.258
0.580 0.912 0.742
0.751 0.751 0.257
0.912 0.580 0.742
0.166 0.834 0.500
0.834 0.166 0.500
0.500 0.500 0.500
```

Summary:
- DOS at the Fermi energy: 16.97 states/eV/f.u.
- Symmetry: C2/m
- Formation enthalpy at 0 K: 37 kJ/mol of formula units